1.
Below is a geometry-optimized LiPrGdSb structure, with properties calculated at the GGA-PBE level.

Cell lengths 7.5426, 7.5426, 7.5426 Å; angles 90.00, 90.00, 90.00 degrees
Last column: nearest neighbours and their distance in Å.
Positions (direct):
1 Li 0.0000 0.0000 0.0000  4 Pr 3.27, 4 Gd 3.27
2 Li 0.0000 0.5000 0.5000  4 Pr 3.27, 4 Gd 3.27
3 Li 0.5000 0.0000 0.5000  4 Pr 3.27, 4 Gd 3.27
4 Li 0.5000 0.5000 0.0000  4 Pr 3.27, 4 Gd 3.27
5 Pr 0.2500 0.2500 0.7500  4 Sb 3.27, 4 Li 3.27
6 Pr 0.2500 0.7500 0.2500  4 Sb 3.27, 4 Li 3.27
7 Pr 0.7500 0.2500 0.2500  4 Sb 3.27, 4 Li 3.27
8 Pr 0.7500 0.7500 0.7500  4 Sb 3.27, 4 Li 3.27
9 Gd 0.2500 0.2500 0.2500  4 Li 3.27, 4 Sb 3.27
10 Gd 0.2500 0.7500 0.7500  4 Li 3.27, 4 Sb 3.27
11 Gd 0.7500 0.2500 0.7500  4 Li 3.27, 4 Sb 3.27
12 Gd 0.7500 0.7500 0.2500  4 Li 3.27, 4 Sb 3.27
13 Sb 0.0000 0.0000 0.5000  4 Gd 3.27, 4 Pr 3.27
14 Sb 0.0000 0.5000 0.0000  4 Gd 3.27, 4 Pr 3.27
15 Sb 0.5000 0.0000 0.0000  4 Gd 3.27, 4 Pr 3.27
16 Sb 0.5000 0.5000 0.5000  4 Gd 3.27, 4 Pr 3.27

=====

2.
Below is a geometry-optimized PuSiNi structure, with properties calculated at the GGA-PBE level.

Cell lengths 8.0828, 8.0828, 5.9909 Å; angles 93.70, 93.70, 28.62 degrees
Last column: nearest neighbours and their distance in Å.
Positions (direct):
1 Pu 0.0170 0.0170 0.3133  3 Pu 2.33-2.41
2 Pu 0.4539 0.4539 0.1481  3 Pu 2.36-2.41
3 Pu 0.5461 0.5461 0.8519  3 Pu 2.36-2.41
4 Pu 0.9830 0.9830 0.6867  3 Pu 2.33-2.41
5 Si 0.1552 0.1552 0.0681  4 Ni 2.25-2.34
6 Si 0.1613 0.1613 0.6282  4 Ni 2.30-2.35
7 Si 0.8387 0.8387 0.3718  4 Ni 2.30-2.35
8 Si 0.8448 0.8448 0.9319  4 Ni 2.25-2.34
9 Ni 0.2613 0.2613 0.3632  4 Si 2.30-2.34, 2 Ni 2.57
10 Ni 0.2796 0.2796 0.8918  4 Si 2.25-2.35
11 Ni 0.7204 0.7204 0.1082  4 Si 2.25-2.35
12 Ni 0.7387 0.7387 0.6368  4 Si 2.30-2.34, 2 Ni 2.57

=====

3.
Below is a geometry-optimized Cd3BSb structure, with properties calculated at the GGA-PBE level.

Cell lengths 5.6142, 5.6142, 5.6142 Å; angles 90.00, 90.00, 90.00 degrees
Last column: nearest neighbours and their distance in Å.
Positions (direct):
1 Cd 0.0000 0.0000 0.5000  2 Sb 2.81
2 Cd 0.0000 0.5000 0.0000  2 Sb 2.81
3 Cd 0.5000 0.0000 0.0000  2 Sb 2.81
4 B 0.5000 0.5000 0.5000  12 Cd 3.97
5 Sb 0.0000 0.0000 0.0000  6 Cd 2.81

Output
Energy above the most stable polymorph in this dataset ... 0.817 eV per atom

=====

| no. | formation energy without anion corrections (eV/atom) |
| --- | --- |
| 1 | -0.49 |
| 2 | -0.21 |
| 3 | 1.35 |